SrMg11Ni: optimized geometry, PBE.

```
data_SrMg11Ni
_chemical_formula_sum 'Sr2 Mg22 Ni2'
_symmetry_space_group_name_H-M 'C 1 2/m 1'
_symmetry_Int_Tables_number 12
_cell_length_a 5.666
_cell_length_b 14.526
_cell_length_c 7.778
_cell_angle_alpha 90.00
_cell_angle_beta 109.17
_cell_angle_gamma 90.00
loop_
_symmetry_equiv_pos_as_xyz
'x,y,z'
'-x,-y,-z'
'-x,y,-z'
'x,-y,z'
'x+1/2,y+1/2,z'
'-x+1/2,-y+1/2,-z'
'-x+1/2,y+1/2,-z'
'x+1/2,-y+1/2,z'
loop_
_atom_site_label
_atom_site_fract_x
_atom_site_fract_y
_atom_site_fract_z
Sr1 0.000 0.000 0.000
Mg1 0.000 0.000 0.500
Mg2 0.096 0.396 0.231
Mg3 0.185 0.171 0.363
Mg4 0.250 0.250 0.000
Ni1 0.000 0.500 0.500
```

Energy of formation from the pure elements   -0.04 eV per atom
D(E_F)   13.675 states/eV/cell


Sr2MgNi: optimized geometry, PBE.

```
data_Sr2MgNi
_chemical_formula_sum 'Sr2 Mg1 Ni1'
_symmetry_space_group_name_H-M 'P 4/m m m'
_symmetry_Int_Tables_number 123
_symmetry_space_group_name_Hall '-P 4 2'
_cell_length_a 5.440
_cell_length_b 5.440
_cell_length_c 4.022
_cell_angle_alpha 90.00
_cell_angle_beta 90.00
_cell_angle_gamma 90.00
loop_
_atom_site_label
_atom_site_fract_x
_atom_site_fract_y
_atom_site_fract_z
Sr1 0.000 0.500 0.000
Mg1 0.000 0.000 0.500
Ni1 0.500 0.500 0.500
```

Energy of formation from the pure elements   0.17 eV per atom
D(E_F)   3.324 states/eV/cell


SrMgNi: optimized geometry, PBE.

```
data_SrMgNi
_chemical_formula_sum 'Sr4 Mg4 Ni4'
_symmetry_space_group_name_H-M 'F -4 3 m'
_symmetry_Int_Tables_number 216
_symmetry_space_group_name_Hall 'F -4 2 3'
_cell_length_a 6.832
_cell_length_b 6.832
_cell_length_c 6.832
_cell_angle_alpha 90.00
_cell_angle_beta 90.00
_cell_angle_gamma 90.00
loop_
_atom_site_label
_atom_site_fract_x
_atom_site_fract_y
_atom_site_fract_z
Sr1 0.000 0.000 0.000
Mg1 0.000 0.000 0.500
Ni1 0.250 0.250 0.250
```

Energy of formation from the pure elements   0.11 eV per atom
D(E_F)   5.773 states/eV/cell


SrMgNi: optimized geometry, PBE.

```
data_SrMgNi
_chemical_formula_sum 'Sr2 Mg2 Ni2'
_symmetry_space_group_name_H-M 'I 4 m m'
_symmetry_Int_Tables_number 107
_symmetry_space_group_name_Hall 'I 4 -2'
_cell_length_a 3.514
_cell_length_b 3.514
_cell_length_c 11.538
_cell_angle_alpha 90.00
_cell_angle_beta 90.00
_cell_angle_gamma 90.00
loop_
_atom_site_label
_atom_site_fract_x
_atom_site_fract_y
_atom_site_fract_z
Sr1 0.000 0.000 0.000
Mg1 0.000 0.000 0.729
Ni1 0.000 0.000 0.322
```

Energy of formation from the pure elements   0.07 eV per atom
D(E_F)   6.374 states/eV/cell


Sr2MgNi: optimized geometry, PBE.

```
data_Sr2MgNi
_chemical_formula_sum 'Sr2 Mg1 Ni1'
_symmetry_space_group_name_H-M 'P 4 m m'
_symmetry_Int_Tables_number 99
_cell_length_a 3.678
_cell_length_b 3.678
_cell_length_c 8.972
_cell_angle_alpha 90.00
_cell_angle_beta 90.00
_cell_angle_gamma 90.00
loop_
_symmetry_equiv_pos_as_xyz
'x,y,z'
'-y,x,z'
'-x,-y,z'
'y,-x,z'
'-x,y,z'
'y,x,z'
'x,-y,z'
'-y,-x,z'
loop_
_atom_site_label
_atom_site_fract_x
_atom_site_fract_y
_atom_site_fract_z
Sr1 0.000 0.000 0.000
Sr2 0.500 0.500 0.393
Mg1 0.000 0.000 0.657
Ni1 0.500 0.500 0.765
```

Energy of formation from the pure elements   0.09 eV per atom
D(E_F)   4.997 states/eV/cell


SrMgNi: optimized geometry, PBE.

```
data_SrMgNi
_chemical_formula_sum 'Sr8 Mg8 Ni8'
_symmetry_space_group_name_H-M 'C m c e'
_symmetry_Int_Tables_number 64
_symmetry_space_group_name_Hall '-C 2ac 2'
_cell_length_a 6.250
_cell_length_b 13.049
_cell_length_c 7.430
_cell_angle_alpha 90.00
_cell_angle_beta 90.00
_cell_angle_gamma 90.00
loop_
_atom_site_label
_atom_site_fract_x
_atom_site_fract_y
_atom_site_fract_z
Sr1 0.000 0.189 0.098
Mg1 0.250 0.036 0.750
Ni1 0.000 0.086 0.467
```

Energy of formation from the pure elements   -0.06 eV per atom
D(E_F)   19.648 states/eV/cell


Sr2MgNi: optimized geometry, PBE.

```
data_Sr2MgNi
_chemical_formula_sum 'Sr4 Mg2 Ni2'
_symmetry_space_group_name_H-M 'C 1 2/m 1'
_symmetry_Int_Tables_number 12
_cell_length_a 7.177
_cell_length_b 4.129
_cell_length_c 9.529
_cell_angle_alpha 90.00
_cell_angle_beta 104.23
_cell_angle_gamma 90.00
loop_
_symmetry_equiv_pos_as_xyz
'x,y,z'
'-x,-y,-z'
'-x,y,-z'
'x,-y,z'
'x+1/2,y+1/2,z'
'-x+1/2,-y+1/2,-z'
'-x+1/2,y+1/2,-z'
'x+1/2,-y+1/2,z'
loop_
_atom_site_label
_atom_site_fract_x
_atom_site_fract_y
_atom_site_fract_z
Sr1 0.228 0.000 0.187
Mg1 0.000 0.000 0.500
Ni1 0.000 0.500 0.000
```

Energy of formation from the pure elements   0.16 eV per atom
D(E_F)   6.739 states/eV/cell


SrMgNi: optimized geometry, PBE.

```
data_SrMgNi
_chemical_formula_sum 'Sr4 Mg4 Ni4'
_symmetry_space_group_name_H-M 'F -4 3 m'
_symmetry_Int_Tables_number 216
_symmetry_space_group_name_Hall 'F -4 2 3'
_cell_length_a 7.147
_cell_length_b 7.147
_cell_length_c 7.147
_cell_angle_alpha 90.00
_cell_angle_beta 90.00
_cell_angle_gamma 90.00
loop_
_atom_site_label
_atom_site_fract_x
_atom_site_fract_y
_atom_site_fract_z
Sr1 0.000 0.000 0.000
Mg1 0.250 0.250 0.750
Ni1 0.250 0.250 0.250
```

Energy of formation from the pure elements   0.74 eV per atom
D(E_F)   5.493 states/eV/cell


SrMg3Ni: optimized geometry, PBE.

```
data_SrMg3Ni
_chemical_formula_sum 'Sr4 Mg12 Ni4'
_symmetry_space_group_name_H-M 'C 1 2/m 1'
_symmetry_Int_Tables_number 12
_cell_length_a 13.161
_cell_length_b 6.377
_cell_length_c 7.657
_cell_angle_alpha 90.00
_cell_angle_beta 125.17
_cell_angle_gamma 90.00
loop_
_symmetry_equiv_pos_as_xyz
'x,y,z'
'-x,-y,-z'
'-x,y,-z'
'x,-y,z'
'x+1/2,y+1/2,z'
'-x+1/2,-y+1/2,-z'
'-x+1/2,y+1/2,-z'
'x+1/2,-y+1/2,z'
loop_
_atom_site_label
_atom_site_fract_x
_atom_site_fract_y
_atom_site_fract_z
Sr1 0.000 0.000 0.000
Sr2 0.000 0.000 0.500
Mg1 0.001 0.500 0.287
Mg2 0.250 0.250 0.000
Mg3 0.250 0.250 0.500
Ni1 0.188 0.500 0.689
```

Energy of formation from the pure elements   -0.04 eV per atom
D(E_F)   14.469 states/eV/cell


SrMg2Ni2: optimized geometry, PBE.

```
data_SrMg2Ni2
_chemical_formula_sum 'Sr2 Mg4 Ni4'
_symmetry_space_group_name_H-M 'I 4/m m m'
_symmetry_Int_Tables_number 139
_symmetry_space_group_name_Hall '-I 4 2'
_cell_length_a 4.276
_cell_length_b 4.276
_cell_length_c 11.237
_cell_angle_alpha 90.00
_cell_angle_beta 90.00
_cell_angle_gamma 90.00
loop_
_atom_site_label
_atom_site_fract_x
_atom_site_fract_y
_atom_site_fract_z
Sr1 0.000 0.000 0.000
Mg1 0.000 0.500 0.250
Ni1 0.000 0.000 0.396
```

Energy of formation from the pure elements   -0.09 eV per atom
D(E_F)   4.583 states/eV/cell


Sr2MgNi: optimized geometry, PBE.

```
data_Sr2MgNi
_chemical_formula_sum 'Sr4 Mg2 Ni2'
_symmetry_space_group_name_H-M 'C m m m'
_symmetry_Int_Tables_number 65
_symmetry_space_group_name_Hall '-C 2 2'
_cell_length_a 5.318
_cell_length_b 5.331
_cell_length_c 8.454
_cell_angle_alpha 90.00
_cell_angle_beta 90.00
_cell_angle_gamma 90.00
loop_
_atom_site_label
_atom_site_fract_x
_atom_site_fract_y
_atom_site_fract_z
Sr1 0.000 0.000 0.207
Mg1 0.000 0.500 0.500
Ni1 0.000 0.500 0.000
```

Energy of formation from the pure elements   0.07 eV per atom
D(E_F)   7.131 states/eV/cell


Sr2MgNi9: optimized geometry, PBE.

```
data_Sr2MgNi9
_chemical_formula_sum 'Sr6 Mg3 Ni27'
_symmetry_space_group_name_H-M 'R -3 m'
_symmetry_Int_Tables_number 166
_symmetry_space_group_name_Hall '-R 3 2"'
_cell_length_a 4.9956
_cell_length_b 4.9956
_cell_length_c 24.9511
_cell_angle_alpha 90.00
_cell_angle_beta 90.00
_cell_angle_gamma 120.00
loop_
_atom_site_label
_atom_site_fract_x
_atom_site_fract_y
_atom_site_fract_z
Sr1 0.0000 0.0000 0.1381
Mg1 0.0000 0.0000 0.0000
Ni1 0.0000 0.0000 0.3322
Ni2 0.0000 0.0000 0.5000
Ni3 0.0038 0.5019 0.0771
```

Energy of formation from the pure elements   0.01 eV per atom
D(E_F)   37.311 states/eV/cell


Q: Look up the energy of formation from the pure elements of the twelfth one.
A: 0.01 eV per atom